Record 1
# ZrBeTe3

A geometry-optimized ZrBeTe3 structure (PBE-GGA, Alexandria via LeMat-Bulk).

a b c (Å): 3.940 6.682 13.038
angles (deg): 104.85 90.00 90.00
Positions (direct):
Te (0.750, 0.264, 0.544)
Te (0.250, 0.437, 0.836)
Te (0.250, 0.720, 0.456)
Te (0.750, 0.856, 0.738)
Be (0.750, 0.484, 0.728)
Zr (0.750, 0.431, 0.339)
Te (0.750, 0.601, 0.164)
Te (0.250, 0.118, 0.262)
Be (0.250, 0.756, 0.272)
Zr (0.250, 0.092, 0.661)

Results
**Formation energy without anion corrections**: -282 kJ/mol of formula units
**Energy**: -4.92 eV per atom

Record 2
# ZrBeTe3

A geometry-optimized ZrBeTe3 structure (PBE-GGA, Alexandria via LeMat-Bulk).

a b c (Å): 5.596 5.596 5.596
angles (deg): 90.00 90.00 90.00
Positions (direct):
Zr (0.000, 0.000, 0.000)
Te (0.500, 0.000, 0.000)
Te (0.000, 0.000, 0.500)
Be (0.500, 0.500, 0.500)
Te (0.000, 0.500, 0.000)

Results
**Formation energy without anion corrections**: 205 kJ/mol of formula units
**Energy**: -3.92 eV per atom

Record 3
# ZrBeTe2

A geometry-optimized ZrBeTe2 structure (PBE-GGA, Alexandria via LeMat-Bulk).

a b c (Å): 8.107 8.107 8.107
angles (deg): 153.37 153.46 37.95
Positions (direct):
Te (0.769, 0.269, 0.500)
Zr (0.423, 0.423, 0.000)
Be (0.298, 0.798, 0.500)
Te (0.010, 0.010, 0.000)

Results
**Formation energy without anion corrections**: -171 kJ/mol of formula units
**Energy**: -5.08 eV per atom

Record 4
# Zr5Be2Te

A geometry-optimized Zr5Be2Te structure (PBE-GGA, Alexandria via LeMat-Bulk).

a b c (Å): 6.939 6.939 8.116
angles (deg): 115.31 115.31 90.00
Positions (direct):
Te (0.750, 0.750, 0.500)
Zr (0.474, 0.303, 0.277)
Te (0.250, 0.250, 0.500)
Zr (0.500, 0.500, 0.000)
Zr (0.197, 0.026, 0.723)
Be (0.380, 0.880, 0.000)
Zr (0.000, 0.000, 0.000)
Zr (0.026, 0.526, 0.723)
Zr (0.697, 0.197, 0.723)
Zr (0.803, 0.974, 0.277)
Be (0.620, 0.120, 0.000)
Be (0.120, 0.380, 0.000)
Be (0.880, 0.620, 0.000)
Zr (0.974, 0.474, 0.277)
Zr (0.303, 0.803, 0.277)
Zr (0.526, 0.697, 0.723)

Results
**Formation energy without anion corrections**: -230 kJ/mol of formula units
**Energy**: -6.97 eV per atom

Record 5
# ZrBeTe2

A geometry-optimized ZrBeTe2 structure (PBE-GGA, Alexandria via LeMat-Bulk).

a b c (Å): 3.425 3.425 8.995
angles (deg): 90.00 90.00 109.05
Positions (direct):
Te (0.500, 0.500, 0.317)
Be (0.500, 0.500, 0.739)
Zr (0.000, 0.000, 0.549)
Te (0.000, 0.000, 0.894)

Results
**Formation energy without anion corrections**: -70 kJ/mol of formula units
**Energy**: -4.82 eV per atom

Record 6
# ZrBeTe2

A geometry-optimized ZrBeTe2 structure (PBE-GGA, Alexandria via LeMat-Bulk).

a b c (Å): 5.383 5.383 5.383
angles (deg): 139.91 121.71 73.10
Positions (direct):
Te (0.447, 0.447, 0.000)
Te (0.053, 0.053, 0.000)
Zr (0.750, 0.250, 0.500)
Be (0.250, 0.750, 0.500)

Results
**Formation energy without anion corrections**: -84 kJ/mol of formula units
**Energy**: -4.86 eV per atom

Record 7
# ZrBeTe

A geometry-optimized ZrBeTe structure (PBE-GGA, Alexandria via LeMat-Bulk).

a b c (Å): 3.727 3.742 10.249
angles (deg): 79.81 89.71 90.00
Positions (direct):
Be (0.325, 0.927, 0.767)
Be (0.326, 0.476, 0.667)
Zr (0.824, 0.385, 0.855)
Te (0.321, 0.812, 0.006)
Te (0.329, 0.592, 0.428)
Zr (0.827, 0.019, 0.578)

Results
**Formation energy without anion corrections**: -191 kJ/mol of formula units
**Energy**: -5.80 eV per atom

Record 8
# ZrBeTe2

A geometry-optimized ZrBeTe2 structure (PBE-GGA, Alexandria via LeMat-Bulk).

a b c (Å): 6.473 6.473 7.019
angles (deg): 62.54 62.54 90.00
Each line ends with the local moment (μB).
Positions (direct):
Te (0.875, 0.816, 0.750)  -0.02
Be (0.500, 0.500, 0.000)  0.05
Te (0.375, 0.434, 0.750)  -0.02
Be (0.250, 0.750, 0.500)  0.05
Zr (0.750, 0.250, 0.500)  1.02
Te (0.566, 0.125, 0.250)  -0.02
Te (0.184, 0.625, 0.250)  -0.02
Zr (0.000, 0.000, 0.000)  1.03

Results
**Formation energy without anion corrections**: -58 kJ/mol of formula units
**Energy**: -4.79 eV per atom

Listing density for the structures above in their given order: 4.8, 4.6, 5.5, 6.4, 5.9, 7.1, 5.4, 5.3 g cm⁻³.